Here is NaH12AuC4S4O12 after structural relaxation from the Alexandria database. Energies are from PBE.

Results
V ... 452 Å³/cell
Calculated total energy ... -5.38 eV/atom
Total magnetic moment ... 0.00 μB per formula unit

extended XYZ file:
```
34
Lattice="5.603 0.000 0.000 1.929 8.686 0.000 2.555 2.407 9.283" Properties=species:S:1:pos:R:3 pbc="T T T"
Na 0.000 0.000 0.000
H 3.323 5.537 2.674
H 2.498 1.019 3.454
H 3.169 2.682 3.530
H 4.222 6.822 3.568
H 3.120 1.815 1.950
H 5.052 5.841 6.097
H 5.035 5.252 3.187
H 6.966 9.277 7.333
H 5.865 4.271 5.715
H 6.918 8.411 5.753
H 7.588 10.074 5.829
H 6.764 5.555 6.610
Au 0.964 4.343 0.000
C 2.619 1.964 2.912
C 4.304 5.994 2.851
C 5.783 5.098 6.432
C 7.468 9.128 6.372
S 3.492 8.494 6.663
S 5.223 4.415 7.966
S 4.863 6.678 1.317
S 6.594 2.598 2.621
O 3.255 7.072 7.283
O 4.182 9.348 7.613
O 4.130 8.262 5.379
O 3.897 3.851 7.785
O 3.822 7.553 0.817
O 5.190 5.617 8.963
O 4.896 5.476 0.320
O 6.264 3.539 8.466
O 6.189 7.242 1.499
O 5.957 2.830 3.905
O 5.905 1.745 1.671
O 6.832 4.021 2.000
```

Here is RbH12AuC4S4O12 after structural relaxation from the Alexandria database. Energies are from PBE.

Results
V ... 886 Å³/cell
Calculated total energy ... -5.38 eV/atom
Total magnetic moment ... 0.00 μB per formula unit

extended XYZ file:
```
68
Lattice="9.703 0.000 0.000 0.000 9.703 0.000 0.000 0.000 9.411" Properties=species:S:1:pos:R:3 pbc="T T T"
Rb 0.000 0.000 0.000
Rb 4.852 4.852 4.706
H 0.050 3.234 6.213
H 0.780 3.588 0.452
H 0.815 3.345 2.228
H 1.263 4.072 5.157
H 1.506 4.036 6.934
H 1.618 4.801 1.508
H 3.234 9.653 3.198
H 3.345 8.888 7.183
H 3.588 8.923 8.960
H 4.036 8.197 2.478
H 4.072 8.440 4.254
H 4.801 8.085 7.904
H 4.902 1.618 7.904
H 5.631 1.263 4.254
H 5.667 1.506 2.478
H 6.115 0.780 8.960
H 6.358 0.815 7.183
H 6.469 0.050 3.198
H 8.085 4.902 1.508
H 8.197 5.667 6.934
H 8.440 5.631 5.157
H 8.888 6.358 2.228
H 8.923 6.115 0.452
H 9.653 6.469 6.213
Au 0.000 0.000 4.706
Au 4.852 4.852 0.000
C 1.106 3.489 6.072
C 1.362 3.746 1.367
C 3.489 8.597 3.339
C 3.746 8.341 8.044
C 5.957 1.362 8.044
C 6.214 1.106 3.339
C 8.341 5.957 1.367
C 8.597 6.214 6.072
S 1.984 7.672 3.466
S 2.031 1.984 5.945
S 2.821 6.836 8.172
S 2.867 2.821 1.240
S 6.836 6.882 1.240
S 6.882 2.867 8.172
S 7.672 7.719 5.945
S 7.719 2.031 3.466
O 1.127 8.013 2.342
O 1.331 8.154 4.803
O 1.423 7.172 8.374
O 1.549 1.331 4.608
O 1.691 1.127 7.069
O 2.320 6.274 3.668
O 2.531 1.423 1.037
O 3.161 5.979 7.048
O 3.303 6.183 0.098
O 3.429 2.320 5.743
O 3.521 3.303 9.314
O 3.724 3.161 2.363
O 5.979 6.542 2.363
O 6.183 6.400 9.314
O 6.274 7.383 5.743
O 6.400 3.521 0.098
O 6.542 3.724 7.048
O 7.172 8.280 1.037
O 7.383 3.429 3.668
O 8.013 8.576 7.069
O 8.154 8.372 4.608
O 8.280 2.531 8.374
O 8.372 1.549 4.803
O 8.576 1.691 2.342
```

Here is HfAu2C after structural relaxation from the Alexandria database. Energies are from PBE.

Results
Formation enthalpy at 0 K ... 887 meV per atom
V ... 308 Å³/cell
Total magnetic moment ... 0.00 μB per formula unit

extended XYZ file:
```
16
Lattice="4.803 0.000 0.000 0.000 4.803 0.000 0.000 0.000 13.362" Properties=species:S:1:pos:R:3 pbc="T T T"
Hf 0.000 0.000 0.000
Hf 0.000 2.402 3.341
Hf 2.402 0.000 10.022
Hf 2.402 2.402 6.681
Au 0.658 1.201 8.351
Au 1.201 3.059 11.692
Au 1.201 4.145 5.011
Au 1.744 1.201 1.670
Au 3.059 3.602 1.670
Au 3.602 0.658 5.011
Au 3.602 1.744 11.692
Au 4.145 3.602 8.351
C 0.000 0.000 6.681
C 0.000 2.402 10.022
C 2.402 0.000 3.341
C 2.402 2.402 0.000
```

Here is Hf8AuC2 after structural relaxation from the Alexandria database. Energies are from PBE.

Results
Formation enthalpy at 0 K ... 84 meV per atom
V ... 225 Å³/cell
Total magnetic moment ... 0.00 μB per formula unit

extended XYZ file:
```
11
Lattice="6.528 -3.189 0.000 6.528 3.189 0.000 -0.851 0.000 5.395" Properties=species:S:1:pos:R:3 pbc="T T T"
Hf 4.596 1.678 4.284
Hf 1.262 0.000 3.864
Hf 3.758 0.000 1.335
Hf 7.609 1.678 1.110
Hf 4.596 -1.678 4.284
Hf 8.447 0.000 4.060
Hf 10.943 0.000 1.531
Hf 7.609 -1.678 1.110
Au 6.102 0.000 2.697
C 3.280 0.000 4.592
C 8.925 0.000 0.803
```

Here is Hf4Au2C after structural relaxation from the Alexandria database. Energies are from PBE.

Results
Formation enthalpy at 0 K ... -498 meV per atom
V ... 264 Å³/cell
Total magnetic moment ... 0.00 μB per formula unit

extended XYZ file:
```
14
Lattice="7.570 0.000 0.000 0.000 10.456 0.000 0.000 0.000 3.338" Properties=species:S:1:pos:R:3 pbc="T T T"
Hf 1.065 1.969 0.000
Hf 1.366 9.765 1.669
Hf 2.419 4.537 1.669
Hf 2.720 7.198 0.000
Hf 4.850 3.259 0.000
Hf 5.151 5.919 1.669
Hf 6.204 0.691 1.669
Hf 6.505 8.487 0.000
Au 0.403 6.654 1.669
Au 3.382 1.426 1.669
Au 4.188 9.031 1.669
Au 7.167 3.802 1.669
C 0.000 0.000 0.000
C 3.785 5.228 0.000
```

Here is HfAuC after structural relaxation from the Alexandria database. Energies are from PBE.

Results
Formation enthalpy at 0 K ... -242 meV per atom
V ... 103 Å³/cell
Total magnetic moment ... 0.00 μB per formula unit

extended XYZ file:
```
6
Lattice="1.897 1.095 8.288 -1.897 1.095 8.288 0.000 -2.191 8.288" Properties=species:S:1:pos:R:3 pbc="T T T"
Hf 0.000 0.000 2.989
Hf 0.000 0.000 21.875
Au 0.000 0.000 7.386
Au 0.000 0.000 17.477
C 0.000 0.000 5.172
C 0.000 0.000 19.692
```

Here is HfAuC2 after structural relaxation from the Alexandria database. Energies are from PBE.

Results
Formation enthalpy at 0 K ... 897 meV per atom
Excess energy over the best structure of this formula in the dataset ... 0.000 eV per atom
V ... 245 Å³/cell
Total magnetic moment ... 0.00 μB per formula unit

extended XYZ file:
```
16
Lattice="4.792 0.000 0.000 0.000 4.792 0.000 0.000 0.000 10.661" Properties=species:S:1:pos:R:3 pbc="T T T"
Hf 0.000 0.000 0.000
Hf 0.000 2.396 2.665
Hf 2.396 0.000 7.995
Hf 2.396 2.396 5.330
Au 0.000 0.000 5.330
Au 0.000 2.396 7.995
Au 2.396 0.000 2.665
Au 2.396 2.396 0.000
C 1.163 1.198 6.663
C 1.198 3.559 9.328
C 1.198 3.629 3.998
C 1.233 1.198 1.333
C 3.559 3.594 1.333
C 3.594 1.163 3.998
C 3.594 1.233 9.328
C 3.629 3.594 6.663
```

Here is Hf6Au3C after structural relaxation from the Alexandria database. Energies are from PBE.

Results
Formation enthalpy at 0 K ... -397 meV per atom
V ... 397 Å³/cell
Total magnetic moment ... 0.00 μB per formula unit

extended XYZ file:
```
20
Lattice="5.852 0.000 0.000 0.000 7.300 0.000 -5.493 0.000 9.291" Properties=species:S:1:pos:R:3 pbc="T T T"
Hf -0.825 0.347 2.078
Hf -3.572 3.303 6.723
Hf 0.732 5.259 0.619
Hf -2.014 5.691 5.264
Hf 1.966 1.038 0.507
Hf -0.780 2.612 5.153
Hf 1.139 4.688 4.138
Hf -1.607 6.262 8.783
Hf 2.373 1.609 4.027
Hf -0.373 2.041 8.672
Hf 3.931 3.997 2.567
Hf 1.184 6.954 7.213
Au -2.176 0.829 6.780
Au 0.571 2.821 2.135
Au 0.180 0.000 4.645
Au 2.926 3.650 0.000
Au -0.212 4.479 7.156
Au 2.535 6.471 2.510
C 0.000 0.000 0.000
C -2.747 3.650 4.645
```

Here is Hf7Au2C2 after structural relaxation from the Alexandria database. Energies are from PBE.

Results
Formation enthalpy at 0 K ... -40 meV per atom
V ... 242 Å³/cell
Total magnetic moment ... 0.00 μB per formula unit

extended XYZ file:
```
11
Lattice="3.456 -5.018 0.000 3.456 5.018 0.000 -1.292 0.000 6.973" Properties=species:S:1:pos:R:3 pbc="T T T"
Hf 0.000 0.000 0.000
Hf 0.986 2.109 5.662
Hf 2.588 0.000 1.358
Hf 4.633 2.109 1.312
Hf 0.986 -2.109 5.662
Hf 3.032 0.000 5.616
Hf 4.633 -2.109 1.312
Au 2.810 2.024 3.487
Au 2.810 -2.024 3.487
C 0.839 0.000 6.128
C 4.781 0.000 0.845
```

Here is Hf4AuC after structural relaxation from the Alexandria database. Energies are from PBE.

Results
Formation enthalpy at 0 K ... -332 meV per atom
V ... 234 Å³/cell
Total magnetic moment ... 0.00 μB per formula unit

extended XYZ file:
```
12
Lattice="3.744 -6.464 0.000 3.744 6.464 0.000 -2.862 0.000 4.830" Properties=species:S:1:pos:R:3 pbc="T T T"
Hf 0.259 3.827 4.124
Hf -0.416 0.672 3.407
Hf 1.015 -0.672 0.992
Hf 2.937 3.827 3.121
Hf 1.690 -3.827 1.709
Hf 3.611 0.672 3.838
Hf 5.042 -0.672 1.423
Hf 4.368 -3.827 0.706
Au 3.029 1.445 1.208
Au 1.598 -1.445 3.623
C 1.598 5.635 3.623
C 3.029 -5.635 1.208
```

Here is HfAuC2 after structural relaxation from the Alexandria database. Energies are from PBE.

Results
Formation enthalpy at 0 K ... 1221 meV per atom
Excess energy over the best structure of this formula in the dataset ... 0.325 eV per atom
V ... 195 Å³/cell
Total magnetic moment ... 0.00 μB per formula unit

extended XYZ file:
```
16
Lattice="5.795 0.000 0.000 0.000 5.795 0.000 0.000 0.000 5.795" Properties=species:S:1:pos:R:3 pbc="T T T"
Hf 0.000 0.000 0.000
Hf 0.000 2.898 2.898
Hf 2.898 0.000 2.898
Hf 2.898 2.898 0.000
Au 0.000 0.000 2.898
Au 0.000 2.898 0.000
Au 2.898 0.000 0.000
Au 2.898 2.898 2.898
C 1.449 1.449 1.449
C 1.449 1.449 4.347
C 1.449 4.347 1.449
C 1.449 4.347 4.347
C 4.347 1.449 1.449
C 4.347 1.449 4.347
C 4.347 4.347 1.449
C 4.347 4.347 4.347
```

Here is Hf2AuC after structural relaxation from the Alexandria database. Energies are from PBE.

Results
Formation enthalpy at 0 K ... -766 meV per atom
V ... 260 Å³/cell
Total magnetic moment ... 0.00 μB per formula unit

extended XYZ file:
```
16
Lattice="3.240 0.000 0.000 0.000 17.292 0.000 0.000 0.000 4.649" Properties=species:S:1:pos:R:3 pbc="T T T"
Hf 0.000 1.824 1.162
Hf 0.000 4.998 1.162
Hf 0.000 12.294 3.486
Hf 0.000 15.468 3.486
Hf 1.620 3.648 3.486
Hf 1.620 6.822 3.486
Hf 1.620 10.470 1.162
Hf 1.620 13.644 1.162
Au 0.000 7.853 1.162
Au 0.000 9.439 3.486
Au 1.620 0.793 3.486
Au 1.620 16.498 1.162
C 0.000 5.235 3.486
C 0.000 12.056 1.162
C 1.620 3.410 1.162
C 1.620 13.881 3.486
```